1.
Entry from Alexandria via LeMat-Bulk: crystalline YAl3Ni2 at its relaxed geometry (PBE).

Values from the calculation:
Crystal system: hexagonal
Formation energy from the elements: -3.8 eV per formula unit
Magnetization: 0.0000 μB/atom

Cell and atoms, written as CIF:
```
data_YAl3Ni2
_chemical_formula_sum 'Y1 Al3 Ni2'
_cell_length_a 5.2794
_cell_length_b 5.2794
_cell_length_c 3.9779
_cell_angle_alpha 90.00
_cell_angle_beta 90.00
_cell_angle_gamma 120.00
_space_group_name_H-M_alt 'P 6/m m m'
_space_group_IT_number 191
_space_group_name_Hall '-P 6 2'
loop_
_atom_site_label
_atom_site_type_symbol
_atom_site_fract_x
_atom_site_fract_y
_atom_site_fract_z
Y1 Y 0.0000 0.0000 0.0000
Al1 Al 0.0000 0.5000 0.5000
Ni1 Ni 0.3333 0.6667 0.0000
```



2.
Entry from Alexandria via LeMat-Bulk: crystalline Y2Al2Ni15 at its relaxed geometry (PBE).

Values from the calculation:
Crystal system: trigonal
Formation energy from the elements: -5.9 eV per formula unit
Magnetization: 0.1069 μB/atom

Cell and atoms, written as CIF:
```
data_Y2Al2Ni15
_chemical_formula_sum 'Y6 Al6 Ni45'
_cell_length_a 8.2938
_cell_length_b 8.2938
_cell_length_c 12.3315
_cell_angle_alpha 90.00
_cell_angle_beta 90.00
_cell_angle_gamma 120.00
_space_group_name_H-M_alt 'R -3 m'
_space_group_IT_number 166
_space_group_name_Hall '-R 3 2"'
loop_
_atom_site_label
_atom_site_type_symbol
_atom_site_fract_x
_atom_site_fract_y
_atom_site_fract_z
Y1 Y 0.0000 0.0000 0.1504
Al1 Al 0.0000 0.0000 0.3972
Ni1 Ni 0.0000 0.2938 0.5000
Ni2 Ni 0.0000 0.5000 0.0000
Ni3 Ni 0.0029 0.5015 0.3462
```



3.
Entry from Alexandria via LeMat-Bulk: crystalline Y3AlNi3 at its relaxed geometry (PBE).

Values from the calculation:
Crystal system: orthorhombic
Formation energy from the elements: -3.5 eV per formula unit
Magnetization: 0.0000 μB/atom

Cell and atoms, written as CIF:
```
data_Y3AlNi3
_chemical_formula_sum 'Y12 Al4 Ni12'
_cell_length_a 4.0856
_cell_length_b 10.0332
_cell_length_c 13.2692
_cell_angle_alpha 90.00
_cell_angle_beta 90.00
_cell_angle_gamma 90.00
_space_group_name_H-M_alt 'C m c m'
_space_group_IT_number 63
_space_group_name_Hall '-C 2c 2'
loop_
_atom_site_label
_atom_site_type_symbol
_atom_site_fract_x
_atom_site_fract_y
_atom_site_fract_z
Y1 Y 0.0000 0.0038 0.2500
Y2 Y 0.0000 0.2872 0.1045
Al1 Al 0.0000 0.0000 0.0000
Ni1 Ni 0.0000 0.2944 0.7500
Ni2 Ni 0.0000 0.4242 0.5889
```



4.
Entry from Alexandria via LeMat-Bulk: crystalline Y2AlNi2 at its relaxed geometry (PBE).

Values from the calculation:
Crystal system: orthorhombic
Formation energy from the elements: -2.7 eV per formula unit
Magnetization: 0.0000 μB/atom

Cell and atoms, written as CIF:
```
data_Y2AlNi2
_chemical_formula_sum 'Y4 Al2 Ni4'
_cell_length_a 4.1635
_cell_length_b 5.4163
_cell_length_c 8.4198
_cell_angle_alpha 90.00
_cell_angle_beta 90.00
_cell_angle_gamma 90.00
_space_group_name_H-M_alt 'I m m m'
_space_group_IT_number 71
_space_group_name_Hall '-I 2 2'
loop_
_atom_site_label
_atom_site_type_symbol
_atom_site_fract_x
_atom_site_fract_y
_atom_site_fract_z
Y1 Y 0.0000 0.0000 0.2020
Al1 Al 0.0000 0.5000 0.0000
Ni1 Ni 0.0000 0.2661 0.5000
```



5.
Entry from Alexandria via LeMat-Bulk: crystalline YAl2Ni9 at its relaxed geometry (PBE).

Values from the calculation:
Crystal system: trigonal
Formation energy from the elements: -3.7 eV per formula unit
Magnetization: 0.0048 μB/atom

Cell and atoms, written as CIF:
```
data_YAl2Ni9
_chemical_formula_sum 'Y3 Al6 Ni27'
_cell_length_a 4.8145
_cell_length_b 4.8145
_cell_length_c 23.0619
_cell_angle_alpha 90.00
_cell_angle_beta 90.00
_cell_angle_gamma 120.00
_space_group_name_H-M_alt 'R -3 m'
_space_group_IT_number 166
_space_group_name_Hall '-R 3 2"'
loop_
_atom_site_label
_atom_site_type_symbol
_atom_site_fract_x
_atom_site_fract_y
_atom_site_fract_z
Y1 Y 0.0000 0.0000 0.0000
Al1 Al 0.0000 0.0000 0.1439
Ni1 Ni 0.0000 0.0000 0.3341
Ni2 Ni 0.0000 0.0000 0.5000
Ni3 Ni 0.0065 0.5033 0.9124
```



6.
Entry from Alexandria via LeMat-Bulk: crystalline Y4AlNi at its relaxed geometry (PBE).

Values from the calculation:
Crystal system: monoclinic
Formation energy from the elements: -1.5 eV per formula unit
Magnetization: 0.0000 μB/atom

Cell and atoms, written as CIF:
```
data_Y4AlNi
_chemical_formula_sum 'Y8 Al2 Ni2'
_cell_length_a 5.3610
_cell_length_b 6.9944
_cell_length_c 8.3569
_cell_angle_alpha 90.00
_cell_angle_beta 100.74
_cell_angle_gamma 90.00
_space_group_name_H-M_alt 'P 1 21/m 1'
_space_group_IT_number 11
_space_group_name_Hall '-P 2yb'
loop_
_atom_site_label
_atom_site_type_symbol
_atom_site_fract_x
_atom_site_fract_y
_atom_site_fract_z
Y1 Y 0.1356 0.2500 0.0562
Y2 Y 0.2185 0.7500 0.3786
Y3 Y 0.3293 0.5113 0.7562
Al1 Al 0.2262 0.2500 0.4257
Ni1 Ni 0.3605 0.7500 0.0502
```



7.
Entry from Alexandria via LeMat-Bulk: crystalline YAlNi4 at its relaxed geometry (PBE).

Values from the calculation:
Crystal system: orthorhombic
Formation energy from the elements: -2.0 eV per formula unit
Magnetization: 0.0000 μB/atom

Cell and atoms, written as CIF:
```
data_YAlNi4
_chemical_formula_sum 'Y2 Al2 Ni8'
_cell_length_a 7.0689
_cell_length_b 3.7100
_cell_length_c 6.6043
_cell_angle_alpha 90.00
_cell_angle_beta 90.00
_cell_angle_gamma 90.00
_space_group_name_H-M_alt 'P m m a'
_space_group_IT_number 51
_space_group_name_Hall '-P 2a 2a'
loop_
_atom_site_label
_atom_site_type_symbol
_atom_site_fract_x
_atom_site_fract_y
_atom_site_fract_z
Y1 Y 0.2500 0.0000 0.1483
Al1 Al 0.2500 0.0000 0.7155
Ni1 Ni 0.0000 0.0000 0.5000
Ni2 Ni 0.0497 0.5000 0.7895
Ni3 Ni 0.2500 0.5000 0.4650
```



8.
Entry from Alexandria via LeMat-Bulk: crystalline Y2AlNi2 at its relaxed geometry (PBE).

Values from the calculation:
Crystal system: tetragonal
Formation energy from the elements: -1.0 eV per formula unit
Magnetization: 0.0000 μB/atom

Cell and atoms, written as CIF:
```
data_Y2AlNi2
_chemical_formula_sum 'Y4 Al2 Ni4'
_cell_length_a 3.4415
_cell_length_b 3.4415
_cell_length_c 17.1943
_cell_angle_alpha 90.00
_cell_angle_beta 90.00
_cell_angle_gamma 90.00
_space_group_name_H-M_alt 'I 4/m m m'
_space_group_IT_number 139
_space_group_name_Hall '-I 4 2'
loop_
_atom_site_label
_atom_site_type_symbol
_atom_site_fract_x
_atom_site_fract_y
_atom_site_fract_z
Y1 Y 0.0000 0.0000 0.1196
Al1 Al 0.0000 0.0000 0.5000
Ni1 Ni 0.0000 0.5000 0.2500
```